[1]
A plane-wave DFT calculation with GGA-PBE was carried out for an optimized crystal structure of RbNiPt2Cl. Values from VASP.

Structure (Quantum ESPRESSO input):
```
&SYSTEM
  ibrav = 0, nat = 5, ntyp = 4
/
ATOMIC_SPECIES
Ni 58.69 Ni.upf
Rb 85.47 Rb.upf
Pt 195.08 Pt.upf
Cl 35.45 Cl.upf
ATOMIC_POSITIONS crystal
Ni 0.500 0.500 0.500
Rb 0.000 0.500 0.000
Pt 0.000 0.000 0.500
Pt 0.500 0.000 0.000
Cl 0.000 0.000 0.000
CELL_PARAMETERS angstrom
-2.806 -1.319 -3.460
-4.163 -0.959 3.741
-1.453 4.385 -0.493
```

The raw formation energy is 0.988 eV/atom. The theoretical density is 7.7 g cm⁻³. The calculation puts the spin magnetization at 0.72 μB/f.u. For the density of states at the Fermi level, the calculation gives 9.564 states/eV per cell. Its space-group type is No. 123.

[2]
A plane-wave DFT calculation with GGA-PBE was carried out for an optimized crystal structure of Ni2RuPtCl. Values from VASP.

Structure (Quantum ESPRESSO input):
```
&SYSTEM
  ibrav = 0, nat = 5, ntyp = 4
/
ATOMIC_SPECIES
Ru 101.07 Ru.upf
Cl 35.45 Cl.upf
Pt 195.08 Pt.upf
Ni 58.69 Ni.upf
ATOMIC_POSITIONS crystal
Ru 0.000 0.500 0.000
Cl 0.500 0.500 0.500
Pt 0.000 0.000 0.000
Ni 0.000 0.000 0.500
Ni 0.500 0.000 0.000
CELL_PARAMETERS angstrom
4.641 0.000 0.000
0.000 4.949 0.000
0.000 0.000 4.641
```

The raw formation energy is 1.289 eV/atom. The theoretical density is 7.0 g cm⁻³. The calculation puts the spin magnetization at 4.85 μB/f.u. For the density of states at the Fermi level, the calculation gives 6.984 states/eV per cell. Its space-group type is No. 123.

[3]
A plane-wave DFT calculation with GGA-PBE was carried out for an optimized crystal structure of NiPtS2Cl. Values from VASP.

Structure (Quantum ESPRESSO input):
```
&SYSTEM
  ibrav = 0, nat = 5, ntyp = 4
/
ATOMIC_SPECIES
Ni 58.69 Ni.upf
S 32.06 S.upf
Pt 195.08 Pt.upf
Cl 35.45 Cl.upf
ATOMIC_POSITIONS crystal
Ni 0.500 0.500 0.500
S 0.000 0.500 0.000
S 0.500 0.000 0.000
Pt 0.000 0.000 0.000
Cl 0.000 0.000 0.500
CELL_PARAMETERS angstrom
4.711 0.000 0.000
0.000 4.711 0.000
0.000 0.000 4.851
```

The raw formation energy is 0.765 eV/atom. The theoretical density is 5.4 g cm⁻³. The calculation puts the spin magnetization at 2.21 μB/f.u. For the density of states at the Fermi level, the calculation gives 8.903 states/eV per cell. Its space-group type is No. 123.

[4]
A plane-wave DFT calculation with GGA-PBE was carried out for an optimized crystal structure of NiPtS2Cl. Values from VASP.

Structure (Quantum ESPRESSO input):
```
&SYSTEM
  ibrav = 0, nat = 5, ntyp = 4
/
ATOMIC_SPECIES
Ni 58.69 Ni.upf
S 32.06 S.upf
Pt 195.08 Pt.upf
Cl 35.45 Cl.upf
ATOMIC_POSITIONS crystal
Ni 0.000 0.000 0.000
S 0.000 0.500 0.000
S 0.500 0.000 0.000
Pt 0.500 0.500 0.500
Cl 0.000 0.000 0.500
CELL_PARAMETERS angstrom
-2.658 -0.240 -3.637
-3.438 -1.332 2.600
-1.163 4.128 0.577
```

The raw formation energy is 0.679 eV/atom. The theoretical density is 6.7 g cm⁻³. The calculation puts the spin magnetization at 0.00 μB/f.u. For the density of states at the Fermi level, the calculation gives 6.481 states/eV per cell. Its space-group type is No. 123.

[5]
A plane-wave DFT calculation with GGA-PBE was carried out for an optimized crystal structure of Sm6Ni2PtCl3. Values from VASP.

Structure (Quantum ESPRESSO input):
```
&SYSTEM
  ibrav = 0, nat = 12, ntyp = 4
/
ATOMIC_SPECIES
Sm 150.36 Sm.upf
Ni 58.69 Ni.upf
Pt 195.08 Pt.upf
Cl 35.45 Cl.upf
ATOMIC_POSITIONS crystal
Sm 0.933 0.589 0.797
Sm 0.722 0.722 0.202
Sm 0.067 0.411 0.203
Sm 0.589 0.933 0.797
Sm 0.278 0.278 0.798
Sm 0.411 0.067 0.203
Ni 0.333 0.667 0.000
Ni 0.667 0.333 0.000
Pt 0.000 0.000 0.000
Cl 0.172 0.828 0.500
Cl 0.828 0.172 0.500
Cl 0.500 0.500 0.500
CELL_PARAMETERS angstrom
7.020 -0.009 0.006
-3.516 6.076 0.006
-1.162 -2.012 7.376
```

The raw formation energy is -1.058 eV/atom. The theoretical density is 7.0 g cm⁻³. The calculation puts the spin magnetization at 0.00 μB/f.u. For the density of states at the Fermi level, the calculation gives 8.603 states/eV per cell. Its space-group type is No. 12.

[6]
A plane-wave DFT calculation with GGA-PBE was carried out for an optimized crystal structure of TaNiPt2Cl. Values from VASP.

Structure (Quantum ESPRESSO input):
```
&SYSTEM
  ibrav = 0, nat = 5, ntyp = 4
/
ATOMIC_SPECIES
Ni 58.69 Ni.upf
Cl 35.45 Cl.upf
Pt 195.08 Pt.upf
Ta 180.95 Ta.upf
ATOMIC_POSITIONS crystal
Ni 0.500 0.500 0.500
Cl 0.000 0.000 0.000
Pt 0.000 0.000 0.500
Pt 0.500 0.000 0.000
Ta 0.000 0.500 0.000
CELL_PARAMETERS angstrom
4.489 0.000 0.000
0.000 4.444 0.000
0.000 0.000 4.489
```

The raw formation energy is 1.098 eV/atom. The theoretical density is 12.3 g cm⁻³. The calculation puts the spin magnetization at 0.42 μB/f.u. For the density of states at the Fermi level, the calculation gives 4.510 states/eV per cell. Its space-group type is No. 123.

Q: The highest raw formation energy belongs to which entry?
A: Ni2RuPtCl

Q: Look up the theoretical density of the fifth one.
A: 7.0 g cm⁻³